Record 1
# Sm2AuI, optimized geometry, DFT PBE
data_Sm2AuI
_cell_length_a 4.2753
_cell_length_b 4.2753
_cell_length_c 23.8157
_cell_angle_alpha 90.00
_cell_angle_beta 90.00
_cell_angle_gamma 120.00
_symmetry_space_group_name_H-M 'R -3 m'
_symmetry_Int_Tables_number 166
_symmetry_space_group_name_Hall '-R 3 2"'
loop_
_atom_site_label
_atom_site_type_symbol
_atom_site_fract_x
_atom_site_fract_y
_atom_site_fract_z
Sm1 Sm 0.0000 0.0000 0.2343
Au1 Au 0.0000 0.0000 0.5000
I1 I 0.0000 0.0000 0.0000
# - ΔE_f (raw): -0.82 eV per atom
# - Density of states at the Fermi level: 0.746 states/eV/atom
# - Calculated volume: 31.415 A^3/atom
# - Total moment: 0.00 μB per formula unit

***

Record 2
# LuScCd4, optimized geometry, DFT PBE
data_LuScCd4
_cell_length_a 8.191
_cell_length_b 8.191
_cell_length_c 8.191
_cell_angle_alpha 90.00
_cell_angle_beta 90.00
_cell_angle_gamma 90.00
_symmetry_space_group_name_H-M 'F -4 3 m'
_symmetry_Int_Tables_number 216
_symmetry_space_group_name_Hall 'F -4 2 3'
loop_
_atom_site_label
_atom_site_type_symbol
_atom_site_fract_x
_atom_site_fract_y
_atom_site_fract_z
Lu1 Lu 0.000 0.000 0.000
Sc1 Sc 0.250 0.250 0.750
Cd1 Cd 0.125 0.125 0.375
# - Density of states at the Fermi level: 0.918 states/eV/atom
# - Calculated volume: 22.900 A^3/atom
# - Total moment: 0.00 μB per formula unit
# - Calculated formation energy: -0.1706 eV per atom

***

Record 3
# CeSc2InAu4, optimized geometry, DFT PBE
data_CeSc2InAu4
_cell_length_a 4.7346
_cell_length_b 4.7346
_cell_length_c 27.1414
_cell_angle_alpha 90.00
_cell_angle_beta 90.00
_cell_angle_gamma 120.00
_symmetry_space_group_name_H-M 'R -3 m'
_symmetry_Int_Tables_number 166
_symmetry_space_group_name_Hall '-R 3 2"'
loop_
_atom_site_label
_atom_site_type_symbol
_atom_site_fract_x
_atom_site_fract_y
_atom_site_fract_z
Ce1 Ce 0.0000 0.0000 0.0000
Sc1 Sc 0.0000 0.0000 0.2376
In1 In 0.0000 0.0000 0.5000
Au1 Au 0.0000 0.0000 0.1189
Au2 Au 0.0000 0.0000 0.3921
# - Density of states at the Fermi level: 1.177 states/eV/atom
# - Calculated volume: 21.954 A^3/atom
# - Total moment: 1.03 μB per formula unit
# - Calculated formation energy: -0.6321 eV per atom

***

Record 4
# Al4GaSe7, optimized geometry, DFT PBE
data_Al4GaSe7
_cell_length_a 15.793
_cell_length_b 6.694
_cell_length_c 6.426
_cell_angle_alpha 90.00
_cell_angle_beta 90.00
_cell_angle_gamma 90.00
_symmetry_space_group_name_H-M 'P m n 21'
_symmetry_Int_Tables_number 31
loop_
_symmetry_equiv_pos_as_xyz
'x,y,z'
'-x+1/2,-y,z+1/2'
'-x,y,z'
'x+1/2,-y,z+1/2'
loop_
_atom_site_label
_atom_site_type_symbol
_atom_site_fract_x
_atom_site_fract_y
_atom_site_fract_z
Al1 Al 0.124 0.169 0.000
Al2 Al 0.248 0.327 0.471
Ga1 Ga 0.000 0.653 0.050
Se1 Se 0.000 0.327 0.840
Se2 Se 0.119 0.184 0.365
Se3 Se 0.122 0.832 0.852
Se4 Se 0.248 0.676 0.357
# - ΔE_f (raw): -0.73 eV per atom
# - Density of states at the Fermi level: 0.054 states/eV/atom
# - Calculated volume: 28.303 A^3/atom
# - Total moment: 1.04 μB per formula unit

***

Question: Among the records above, which one has the lowest density of states at the Fermi level?
Answer: Al4GaSe7

***

What did the fourth record say?
# Al4GaSe7, optimized geometry, DFT PBE
data_Al4GaSe7
_cell_length_a 15.793
_cell_length_b 6.694
_cell_length_c 6.426
_cell_angle_alpha 90.00
_cell_angle_beta 90.00
_cell_angle_gamma 90.00
_symmetry_space_group_name_H-M 'P m n 21'
_symmetry_Int_Tables_number 31
loop_
_symmetry_equiv_pos_as_xyz
'x,y,z'
'-x+1/2,-y,z+1/2'
'-x,y,z'
'x+1/2,-y,z+1/2'
loop_
_atom_site_label
_atom_site_type_symbol
_atom_site_fract_x
_atom_site_fract_y
_atom_site_fract_z
Al1 Al 0.124 0.169 0.000
Al2 Al 0.248 0.327 0.471
Ga1 Ga 0.000 0.653 0.050
Se1 Se 0.000 0.327 0.840
Se2 Se 0.119 0.184 0.365
Se3 Se 0.122 0.832 0.852
Se4 Se 0.248 0.676 0.357
# - ΔE_f (raw): -0.73 eV per atom
# - Density of states at the Fermi level: 0.054 states/eV/atom
# - Calculated volume: 28.303 A^3/atom
# - Total moment: 1.04 μB per formula unit

***

Question: The highest total moment belongs to which entry?
Answer: Al4GaSe7

***

Question: What is the formula in the first record?
Answer: Sm2AuI